This record from Alexandria describes ZrIr3Se after structural relaxation. The functional is PBEsol.

Computed properties:
Crystal system = cubic
Formation energy (no corrections) = 1.900 eV/atom

```
ZrIr3Se
1.0
-3.085 -2.614 -2.566
3.508 -3.073 -1.087
-1.054 -2.579 3.895
Ir Se Zr
3 1 1
Direct
0.000 0.500 0.000
0.000 0.000 0.500
0.500 0.000 0.000
0.500 0.500 0.500
0.000 0.000 0.000
```



This record from Alexandria describes HoVB4 after structural relaxation. The functional is PBEsol.

Computed properties:
Crystal system = orthorhombic
Formation enthalpy at 0 K = -0.792 eV per atom

```
HoVB4
1.0
-1.822 -2.832 -0.310
3.312 -2.593 4.220
-7.304 3.815 8.077
Ho V B
4 4 16
Direct
0.500 0.124 0.651
0.500 0.876 0.349
0.500 0.624 0.849
0.500 0.376 0.151
0.500 0.128 0.917
0.500 0.872 0.083
0.500 0.628 0.583
0.500 0.372 0.417
0.000 0.477 0.693
0.000 0.523 0.307
0.000 0.977 0.807
0.000 0.023 0.193
0.000 0.286 0.814
0.000 0.714 0.186
0.000 0.786 0.686
0.000 0.214 0.314
0.000 0.365 0.967
0.000 0.635 0.033
0.000 0.865 0.533
0.000 0.135 0.467
0.000 0.385 0.548
0.000 0.615 0.452
0.000 0.885 0.952
0.000 0.115 0.048
```



This record from Alexandria describes BiSb2MoI after structural relaxation. The functional is PBEsol.

Computed properties:
Crystal system = tetragonal
Formation energy (no corrections) = 1.619 eV/atom

```
BiSb2MoI
1.0
5.793 0.000 0.000
0.000 5.793 0.000
0.000 0.000 5.825
I Sb Mo Bi
1 2 1 1
Direct
0.000 0.000 0.500
0.000 0.500 0.000
0.500 0.000 0.000
0.500 0.500 0.500
0.000 0.000 0.000
```



This record from Alexandria describes PrCuSi after structural relaxation. The functional is PBEsol.

Computed properties:
Crystal system = hexagonal
Formation energy (no corrections) = -0.621 eV/atom

```
PrCuSi
1.0
-1.072 3.832 1.183
-2.735 -2.395 -2.005
-2.610 -2.897 7.022
Pr Si Cu
2 2 2
Direct
0.000 0.000 0.000
0.000 0.000 0.500
0.667 0.333 0.250
0.333 0.667 0.750
0.333 0.667 0.250
0.667 0.333 0.750
```



This record from Alexandria describes YZr2P after structural relaxation. The functional is PBEsol.

Computed properties:
Crystal system = orthorhombic
Formation enthalpy at 0 K = -0.431 eV per atom

```
YZr2P
1.0
-2.641 -1.065 2.153
3.130 -1.333 3.180
-0.400 5.732 -0.613
P Y Zr
1 1 2
Direct
0.500 0.000 0.000
0.000 0.500 0.000
0.779 0.779 0.558
0.221 0.221 0.442
```



This record from Alexandria describes PbCF2 after structural relaxation. The functional is PBEsol.

Computed properties:
Crystal system = tetragonal
Formation energy (no corrections) = 0.064 eV/atom

```
PbCF2
1.0
3.628 0.000 0.000
0.000 3.628 0.000
-1.814 -1.814 7.812
Pb C F
2 2 4
Direct
0.250 0.750 0.500
0.000 0.000 0.000
0.750 0.250 0.500
0.500 0.500 0.000
0.392 0.875 0.250
0.858 0.375 0.250
0.125 0.142 0.750
0.625 0.608 0.750
```



This record from Alexandria describes Sr3CdSn after structural relaxation. The functional is PBEsol.

Computed properties:
Crystal system = cubic
Formation enthalpy at 0 K = 0.060 eV per atom

```
Sr3CdSn
1.0
6.004 0.000 0.000
0.000 6.004 0.000
0.000 0.000 6.004
Sr Sn Cd
3 1 1
Direct
0.000 0.500 0.000
0.000 0.000 0.500
0.500 0.000 0.000
0.500 0.500 0.500
0.000 0.000 0.000
```



This record from Alexandria describes Li2ZnPb after structural relaxation. The functional is PBEsol.

Computed properties:
Crystal system = tetragonal
Formation enthalpy at 0 K = -0.189 eV per atom

```
Li2ZnPb
1.0
-0.353 0.164 -3.289
1.810 -2.754 -0.332
-5.436 -3.620 0.402
Pb Zn Li
1 1 2
Direct
0.500 0.500 0.000
0.500 0.500 0.500
0.000 0.000 0.718
0.000 0.000 0.282
```



This record from Alexandria describes LaLuS3 after structural relaxation. The functional is PBEsol.

Computed properties:
Crystal system = orthorhombic
Formation energy (no corrections) = -2.178 eV/atom

```
LaLuS3
1.0
6.602 0.000 0.000
0.000 7.285 0.000
0.000 0.000 9.724
La Lu S
4 4 12
Direct
0.536 0.404 0.750
0.464 0.596 0.250
0.036 0.096 0.250
0.964 0.904 0.750
0.000 0.500 0.000
0.000 0.500 0.500
0.500 0.000 0.500
0.500 0.000 0.000
0.823 0.187 0.566
0.177 0.813 0.066
0.323 0.313 0.066
0.677 0.687 0.566
0.823 0.187 0.934
0.177 0.813 0.434
0.323 0.313 0.434
0.677 0.687 0.934
0.866 0.455 0.250
0.134 0.545 0.750
0.366 0.045 0.750
0.634 0.955 0.250
```



This record from Alexandria describes NaSnPCO7 after structural relaxation. The functional is PBEsol.

Computed properties:
Crystal system = monoclinic
Formation energy (no corrections) = -1.824 eV/atom

```
NaSnPCO7
1.0
5.004 0.000 0.153
0.000 6.510 0.000
-0.096 0.000 9.187
Na Sn P C O
2 2 2 2 14
Direct
0.927 0.724 0.887
0.073 0.224 0.113
0.761 0.228 0.662
0.239 0.728 0.338
0.715 0.728 0.573
0.285 0.228 0.427
0.608 0.227 0.926
0.392 0.727 0.074
0.464 0.726 0.944
0.867 0.229 0.884
0.446 0.227 0.814
0.785 0.913 0.671
0.784 0.543 0.671
0.131 0.228 0.572
0.415 0.728 0.536
0.585 0.228 0.464
0.869 0.728 0.428
0.216 0.043 0.329
0.215 0.413 0.329
0.554 0.727 0.186
0.133 0.729 0.116
0.536 0.226 0.056
```



This record from Alexandria describes Sr2TaCl after structural relaxation. The functional is PBEsol.

Computed properties:
Polymorph energy (0 for the lowest one) = 8 meV/atom
Crystal system = orthorhombic
Formation energy (no corrections) = 0.156 eV/atom

```
Sr2TaCl
1.0
-0.496 2.394 -2.103
-5.487 -0.609 0.601
3.043 2.956 5.119
Sr Cl Ta
2 1 1
Direct
0.040 0.040 0.079
0.233 0.733 0.466
0.771 0.271 0.542
0.457 0.457 0.913
```



This record from Alexandria describes SrAlW after structural relaxation. The functional is PBEsol.

Computed properties:
Polymorph energy (0 for the lowest one) = 693 meV/atom
Crystal system = cubic
Formation enthalpy at 0 K = 2.113 eV per atom

```
SrAlW
1.0
4.901 0.000 0.000
2.451 4.245 0.000
2.451 1.415 4.002
Sr Al W
1 1 1
Direct
0.250 0.250 0.250
0.500 0.500 0.500
0.000 0.000 0.000
```



no.,total DFT energy (no corrections) (eV per cell),total moment (μB/cell)
1,-32.9,0.6
2,-189.6,0.0
3,-18.8,3.5
4,-34.3,0.0
5,-32.5,0.0
6,-34.5,0.0
7,-10.7,0.0
8,-10.3,0.0
9,-137.0,0.0
10,-155.8,0.1
11,-17.6,0.0
12,-13.4,3.0